[1]
This record from Alexandria describes a PBEsol-optimized structure of Al41V4. The functional is meta-GGA SCAN.

Cell lengths 10.1580, 10.1580, 10.1580 Å; angles 60.00, 60.00, 60.00 degrees
Atoms (fractional coordinates):
V 0.3752 0.8749 0.8749
V 0.8749 0.8749 0.8749
V 0.8749 0.8749 0.3752
V 0.8749 0.3752 0.8749
Al 0.1711 0.4321 0.6984
Al 0.6984 0.1711 0.4321
Al 0.4321 0.1711 0.6984
Al 0.8740 0.3753 0.3753
Al 0.1711 0.6984 0.6984
Al 0.4321 0.6984 0.1711
Al 0.6984 0.6984 0.4321
Al 0.3753 0.3753 0.3753
Al 0.4321 0.6984 0.6984
Al 0.8601 0.1399 0.8601
Al 0.1399 0.8601 0.1399
Al 0.5784 0.3179 0.0519
Al 0.5000 0.5000 0.5000
Al 0.1399 0.1399 0.8601
Al 0.0519 0.5784 0.0519
Al 0.8897 0.6103 0.8897
Al 0.8897 0.6103 0.6103
Al 0.6103 0.6103 0.8897
Al 0.0519 0.0519 0.3179
Al 0.8601 0.1399 0.1399
Al 0.3179 0.0519 0.0519
Al 0.1711 0.6984 0.4321
Al 0.0519 0.5784 0.3179
Al 0.3179 0.5784 0.0519
Al 0.3753 0.8740 0.3753
Al 0.5784 0.0519 0.3179
Al 0.6103 0.8897 0.8897
Al 0.3753 0.3753 0.8740
Al 0.0519 0.0519 0.5784
Al 0.0519 0.3179 0.0519
Al 0.6984 0.6984 0.1711
Al 0.8897 0.8897 0.6103
Al 0.8601 0.8601 0.1399
Al 0.6984 0.1711 0.6984
Al 0.6103 0.8897 0.6103
Al 0.3179 0.0519 0.5784
Al 0.6984 0.4321 0.1711
Al 0.0519 0.3179 0.5784
Al 0.6984 0.4321 0.6984
Al 0.1399 0.8601 0.8601
Al 0.5784 0.0519 0.0519

Summary:
SG: F-43m (216)
Total magnetization, μB per formula unit: 0.00
DFT total energy, eV/atom: -8.72

---

[2]
This record from Alexandria describes a PBEsol-optimized structure of Al8V5. The functional is meta-GGA SCAN.

Cell lengths 7.8804, 7.8804, 7.8804 Å; angles 109.47, 109.47, 109.47 degrees
Each line ends with the local moment (μB).
Atoms (fractional coordinates):
V 0.0000 0.6529 0.0000  -1.56
V 0.3485 0.0000 0.3485  1.77
V 0.6529 0.0000 0.0000  -1.56
V 0.3471 0.3471 0.3471  -1.56
V 0.0000 0.6515 0.6515  1.77
V 0.3485 0.3485 0.0000  1.77
V 0.0000 0.0000 0.6529  -1.56
V 0.0000 0.3485 0.3485  1.77
V 0.6515 0.6515 0.0000  1.77
V 0.6515 0.0000 0.6515  1.77
Al 0.3434 0.0000 0.7089  -0.01
Al 0.2911 0.2911 0.6345  -0.01
Al 0.3434 0.7089 0.0000  -0.01
Al 0.0000 0.7089 0.3434  -0.01
Al 0.7770 0.7770 0.7770  0.01
Al 0.0000 0.0000 0.2230  0.01
Al 0.2230 0.0000 0.0000  0.01
Al 0.7089 0.0000 0.3434  -0.01
Al 0.2911 0.6345 0.2911  -0.01
Al 0.7089 0.3434 0.0000  -0.01
Al 0.3655 0.6566 0.6566  -0.01
Al 0.0000 0.2230 0.0000  0.01
Al 0.6566 0.3655 0.6566  -0.01
Al 0.6566 0.6566 0.3655  -0.01
Al 0.0000 0.3434 0.7089  -0.01
Al 0.6345 0.2911 0.2911  -0.01

Summary:
SG: I-43m (217)
Total magnetization, μB per formula unit: 2.55
DFT total energy, eV/atom: -11.78